# NaAcPrHg

A relaxed structure of NaAcPrHg (PBE-GGA, the Alexandria database).

Cell lengths 5.693, 5.693, 5.693 Å; angles 60.00, 60.00, 60.00 degrees
Sites, in units of the cell vectors:
Na  0.000  0.000  0.000
Pr  0.250  0.250  0.250
Ac  0.750  0.750  0.750
Hg  0.500  0.500  0.500

Values from the calculation:
The calculation puts the formation energy at -81 meV/atom. The space-group type is F-43m, No. 216.



# NaAcPr2Hg4

A relaxed structure of NaAcPr2Hg4 (PBE-GGA, the Alexandria database).

Cell lengths 5.420, 5.420, 9.686 Å; angles 73.75, 73.75, 60.00 degrees
Sites, in units of the cell vectors:
Pr  0.757  0.757  0.730
Pr  0.243  0.243  0.270
Hg  0.127  0.127  0.620
Na  0.500  0.500  0.500
Hg  0.619  0.619  0.142
Hg  0.381  0.381  0.858
Ac  0.000  0.000  0.000
Hg  0.873  0.873  0.380

Values from the calculation:
The calculation puts the formation energy at -413 meV/atom. The space-group type is R-3m, No. 166.



# NaAcHgPt

A relaxed structure of NaAcHgPt (PBE-GGA, the Alexandria database).

Cell lengths 5.297, 5.297, 5.297 Å; angles 60.00, 60.00, 60.00 degrees
Sites, in units of the cell vectors:
Ac  0.000  0.000  0.000
Na  0.500  0.500  0.500
Hg  0.250  0.250  0.250
Pt  0.750  0.750  0.750

Values from the calculation:
The calculation puts the formation energy at -487 meV/atom. The space-group type is F-43m, No. 216.



# NaAcHg2S4

A relaxed structure of NaAcHg2S4 (PBE-GGA, the Alexandria database).

Cell lengths 7.095, 6.582, 6.582 Å; angles 75.11, 57.38, 57.38 degrees
Sites, in units of the cell vectors:
S  0.502  0.084  0.441
Hg  0.243  0.257  0.257
Hg  0.757  0.743  0.743
S  0.027  0.916  0.559
Ac  0.000  0.000  0.000
S  0.973  0.441  0.084
S  0.498  0.559  0.916
Na  0.500  0.500  0.500

Values from the calculation:
As for the formation energy from raw total energies: -7.155 eV per formula unit. The space-group type is I222, No. 23.



# Na2AcHgSb2

A relaxed structure of Na2AcHgSb2 (PBE-GGA, the Alexandria database).

Cell lengths 4.723, 8.694, 9.176 Å; angles 90.00, 90.00, 90.00 degrees
Sites, in units of the cell vectors:
Sb  0.500  0.250  0.381
Na  0.000  0.375  0.163
Sb  0.000  0.259  0.845
Sb  0.000  0.759  0.155
Ac  0.000  0.983  0.454
Na  0.000  0.875  0.837
Hg  0.500  0.127  0.699
Sb  0.500  0.750  0.619
Hg  0.500  0.627  0.301
Na  0.500  0.052  0.073
Na  0.500  0.552  0.927
Ac  0.000  0.483  0.546

Values from the calculation:
As for the formation energy from raw total energies: -3.361 eV per formula unit. The space-group type is Pmc2_1, No. 26.



# NaAcSm2Hg4

A relaxed structure of NaAcSm2Hg4 (PBE-GGA, the Alexandria database).

Cell lengths 5.342, 5.342, 9.662 Å; angles 73.95, 73.95, 60.00 degrees
Sites, in units of the cell vectors:
Sm  0.242  0.242  0.273
Ac  0.000  0.000  0.000
Hg  0.384  0.384  0.849
Na  0.500  0.500  0.500
Hg  0.873  0.873  0.381
Sm  0.758  0.758  0.727
Hg  0.127  0.127  0.619
Hg  0.616  0.616  0.151

Values from the calculation:
The calculation puts the formation energy at -401 meV/atom. The space-group type is R-3m, No. 166.



# NaAcSnHg

A relaxed structure of NaAcSnHg (PBE-GGA, the Alexandria database).

Cell lengths 5.578, 5.578, 5.578 Å; angles 60.00, 60.00, 60.00 degrees
Sites, in units of the cell vectors:
Hg  0.500  0.500  0.500
Sn  0.000  0.000  0.000
Na  0.250  0.250  0.250
Ac  0.750  0.750  0.750

Values from the calculation:
The calculation puts the formation energy at -485 meV/atom. The space-group type is F-43m, No. 216.



# NaSrAc2Hg4

A relaxed structure of NaSrAc2Hg4 (PBE-GGA, the Alexandria database).

Cell lengths 5.593, 5.593, 9.752 Å; angles 73.34, 73.34, 60.00 degrees
Sites, in units of the cell vectors:
Hg  0.125  0.125  0.625
Hg  0.375  0.375  0.875
Hg  0.625  0.625  0.125
Ac  0.247  0.247  0.260
Na  0.500  0.500  0.500
Hg  0.875  0.875  0.375
Sr  0.000  0.000  0.000
Ac  0.753  0.753  0.740

Values from the calculation:
The calculation puts the formation energy at -446 meV/atom. The space-group type is R-3m, No. 166.



# NaSr2AcHg4

A relaxed structure of NaSr2AcHg4 (PBE-GGA, the Alexandria database).

Cell lengths 5.582, 5.582, 9.832 Å; angles 73.51, 73.51, 60.00 degrees
Sites, in units of the cell vectors:
Ac  0.000  0.000  0.000
Hg  0.626  0.626  0.122
Sr  0.755  0.755  0.734
Sr  0.245  0.245  0.266
Hg  0.124  0.124  0.629
Hg  0.876  0.876  0.371
Na  0.500  0.500  0.500
Hg  0.374  0.374  0.878

Values from the calculation:
The calculation puts the formation energy at -452 meV/atom. The space-group type is R-3m, No. 166.



# NaAc2Tl2Hg4

A relaxed structure of NaAc2Tl2Hg4 (PBE-GGA, the Alexandria database).

Cell lengths 7.264, 7.264, 7.264 Å; angles 88.08, 121.12, 121.12 degrees
Sites, in units of the cell vectors:
Hg  0.565  0.282  0.282
Ac  0.500  0.750  0.250
Hg  0.435  0.718  0.718
Hg  0.000  0.282  0.718
Tl  0.000  0.280  0.280
Hg  0.000  0.718  0.282
Ac  0.500  0.250  0.750
Na  0.000  0.000  0.000
Tl  0.000  0.720  0.720

Values from the calculation:
The calculation puts the formation energy at -269 meV/atom. The space-group type is I4/mmm, No. 139.



# NaAcTlHg

A relaxed structure of NaAcTlHg (PBE-GGA, the Alexandria database).

Cell lengths 5.567, 5.567, 5.567 Å; angles 60.00, 60.00, 60.00 degrees
Sites, in units of the cell vectors:
Tl  0.250  0.250  0.250
Hg  0.750  0.750  0.750
Na  0.000  0.000  0.000
Ac  0.500  0.500  0.500

Values from the calculation:
The calculation puts the formation energy at -329 meV/atom. The space-group type is F-43m, No. 216.



# NaAc2TlHg4

A relaxed structure of NaAc2TlHg4 (PBE-GGA, the Alexandria database).

Cell lengths 5.478, 5.478, 9.507 Å; angles 73.25, 73.25, 60.00 degrees
Sites, in units of the cell vectors:
Na  0.500  0.500  0.500
Ac  0.255  0.255  0.236
Tl  0.000  0.000  0.000
Hg  0.381  0.381  0.858
Ac  0.745  0.745  0.764
Hg  0.619  0.619  0.142
Hg  0.131  0.131  0.608
Hg  0.869  0.869  0.392

Values from the calculation:
The calculation puts the formation energy at -397 meV/atom. The space-group type is R-3m, No. 166.



# NaAcYHg

A relaxed structure of NaAcYHg (PBE-GGA, the Alexandria database).

Cell lengths 5.615, 5.615, 5.615 Å; angles 60.00, 60.00, 60.00 degrees
Sites, in units of the cell vectors:
Hg  0.500  0.500  0.500
Na  0.000  0.000  0.000
Ac  0.250  0.250  0.250
Y  0.750  0.750  0.750

Values from the calculation:
The calculation puts the formation energy at -54 meV/atom. The space-group type is F-43m, No. 216.



# NaAcZnHg

A relaxed structure of NaAcZnHg (PBE-GGA, the Alexandria database).

Cell lengths 5.409, 5.409, 5.409 Å; angles 60.00, 60.00, 60.00 degrees
Sites, in units of the cell vectors:
Ac  0.750  0.750  0.750
Zn  0.000  0.000  0.000
Hg  0.500  0.500  0.500
Na  0.250  0.250  0.250

Values from the calculation:
The calculation puts the formation energy at -231 meV/atom. The space-group type is F-43m, No. 216.



# Ac2NbHg

A relaxed structure of Ac2NbHg (PBE-GGA, the Alexandria database).

Cell lengths 3.523, 3.523, 11.981 Å; angles 81.55, 81.55, 60.00 degrees
Sites, in units of the cell vectors:
Ac  0.914  0.914  0.258
Hg  0.500  0.500  0.500
Nb  0.000  0.000  0.000
Ac  0.086  0.086  0.742

Values from the calculation:
The calculation puts the formation energy at 666 meV/atom. The space-group type is R-3m, No. 166.



# AcNb2HgO7

A relaxed structure of AcNb2HgO7 (PBE-GGA, the Alexandria database).

Cell lengths 3.962, 3.962, 11.805 Å; angles 99.66, 99.66, 90.00 degrees
Sites, in units of the cell vectors:
O  0.181  0.181  0.363
O  0.819  0.819  0.637
O  0.415  0.915  0.830
O  0.085  0.585  0.170
O  0.000  0.000  0.000
Nb  0.898  0.898  0.797
O  0.917  0.417  0.835
Hg  0.250  0.750  0.500
Nb  0.102  0.102  0.203
O  0.583  0.083  0.165
Ac  0.500  0.500  0.000

Values from the calculation:
As for the formation energy from raw total energies: -26.619 eV per formula unit. The space-group type is I-4m2, No. 119.



# AcNbHg2O6

A relaxed structure of AcNbHg2O6 (PBE-GGA, the Alexandria database).

Cell lengths 5.949, 5.949, 6.150 Å; angles 61.07, 61.07, 60.00 degrees
Sites, in units of the cell vectors:
O  0.406  0.669  0.794
O  0.542  0.225  0.262
O  0.225  0.971  0.262
O  0.132  0.406  0.794
Ac  0.811  0.811  0.568
O  0.669  0.131  0.794
Hg  0.535  0.535  0.395
Nb  0.309  0.309  0.072
O  0.971  0.542  0.262
Hg  0.062  0.062  0.814

Values from the calculation:
As for the formation energy from raw total energies: -18.184 eV per formula unit. The space-group type is R3, No. 146.



# Ac2NdHg2

A relaxed structure of Ac2NdHg2 (PBE-GGA, the Alexandria database).

Cell lengths 4.191, 7.000, 7.000 Å; angles 66.68, 72.58, 72.58 degrees
Sites, in units of the cell vectors:
Ac  0.793  0.707  0.707
Hg  0.500  0.702  0.298
Nd  0.000  0.000  0.000
Ac  0.207  0.293  0.293
Hg  0.500  0.298  0.702

Values from the calculation:
For the polymorph energy (0 for the lowest one), the calculation gives 0.0 kJ/mol of atoms. The calculation puts the formation energy at -318 meV/atom. The space-group type is Immm, No. 71.



# AcNdHg

A relaxed structure of AcNdHg (PBE-GGA, the Alexandria database).

Cell lengths 5.065, 5.065, 8.158 Å; angles 90.02, 90.02, 90.00 degrees
Sites, in units of the cell vectors:
Hg  0.313  0.366  0.676
Ac  0.314  0.367  0.285
Nd  0.314  0.866  0.920
Nd  0.814  0.367  0.920
Ac  0.814  0.866  0.554
Hg  0.814  0.867  0.163

Values from the calculation:
For the polymorph energy (0 for the lowest one), the calculation gives 0.0 kJ/mol of atoms. The calculation puts the formation energy at -305 meV/atom. The space-group type is P4/nmm, No. 129.



# Ac2NdHg5

A relaxed structure of Ac2NdHg5 (PBE-GGA, the Alexandria database).

Cell lengths 5.511, 5.511, 8.628 Å; angles 108.63, 108.63, 90.00 degrees
Sites, in units of the cell vectors:
Hg  0.386  0.886  0.773
Nd  0.000  0.000  0.000
Ac  0.732  0.732  0.464
Hg  0.500  0.500  0.000
Hg  0.886  0.386  0.773
Ac  0.268  0.268  0.536
Hg  0.614  0.114  0.227
Hg  0.114  0.614  0.227

Values from the calculation:
The calculation puts the formation energy at -419 meV/atom. The space-group type is I4/mmm, No. 139.



# AcNd5Hg6

A relaxed structure of AcNd5Hg6 (PBE-GGA, the Alexandria database).

Cell lengths 5.461, 7.778, 8.665 Å; angles 90.00, 108.52, 90.00 degrees
Sites, in units of the cell vectors:
Nd  0.000  0.500  0.000
Nd  0.336  0.500  0.670
Nd  0.664  0.500  0.330
Nd  0.667  0.000  0.337
Hg  0.170  0.257  0.342
Hg  0.500  0.740  0.000
Hg  0.170  0.743  0.342
Hg  0.830  0.257  0.658
Ac  0.000  0.000  0.000
Hg  0.500  0.260  0.000
Hg  0.830  0.743  0.658
Nd  0.333  0.000  0.663

Values from the calculation:
The calculation puts the formation energy at -465 meV/atom. The space-group type is P2/m, No. 10.



# Ac4NdHg

A relaxed structure of Ac4NdHg (PBE-GGA, the Alexandria database).

Cell lengths 5.726, 5.727, 8.073 Å; angles 89.97, 89.98, 90.00 degrees
Sites, in units of the cell vectors:
Hg  0.001  0.997  0.498
Nd  0.501  0.497  0.998
Ac  0.501  0.997  0.257
Ac  0.001  0.497  0.257
Ac  0.001  0.498  0.739
Ac  0.501  0.998  0.739

Values from the calculation:
For the polymorph energy (0 for the lowest one), the calculation gives 32.9 kJ/mol of atoms. The calculation puts the formation energy at 197 meV/atom. The space-group type is P4/mmm, No. 123.



# AcNd5Hg4

A relaxed structure of AcNd5Hg4 (PBE-GGA, the Alexandria database).

Cell lengths 3.849, 3.849, 20.549 Å; angles 90.00, 90.00, 90.00 degrees
Sites, in units of the cell vectors:
Hg  0.000  0.000  0.407
Hg  0.000  0.000  0.220
Hg  0.000  0.000  0.593
Ac  0.000  0.000  0.000
Nd  0.500  0.500  0.685
Hg  0.000  0.000  0.780
Nd  0.500  0.500  0.315
Nd  0.500  0.500  0.871
Nd  0.500  0.500  0.129
Nd  0.500  0.500  0.500

Values from the calculation:
The calculation puts the formation energy at -374 meV/atom. The space-group type is P4/mmm, No. 123.



# AcNdHg6

A relaxed structure of AcNdHg6 (PBE-GGA, the Alexandria database).

Cell lengths 5.122, 6.956, 6.956 Å; angles 119.36, 90.00, 90.00 degrees
Sites, in units of the cell vectors:
Hg  0.000  0.604  0.945
Hg  0.000  0.055  0.396
Ac  0.500  0.408  0.592
Hg  0.000  0.588  0.412
Nd  0.000  0.092  0.908
Hg  0.500  0.923  0.077
Hg  0.500  0.426  0.097
Hg  0.500  0.903  0.574

Values from the calculation:
The calculation puts the formation energy at -393 meV/atom. The space-group type is Amm2, No. 38.



# Ac2Nd12Hg7

A relaxed structure of Ac2Nd12Hg7 (PBE-GGA, the Alexandria database).

Cell lengths 3.782, 14.360, 14.360 Å; angles 120.00, 90.00, 90.00 degrees
Sites, in units of the cell vectors:
Nd  0.000  0.454  0.933
Nd  0.000  0.480  0.546
Nd  0.500  0.913  0.615
Nd  0.000  0.067  0.520
Nd  0.000  0.269  0.036
Nd  0.000  0.964  0.233
Nd  0.500  0.385  0.298
Hg  0.500  0.649  0.520
Nd  0.500  0.559  0.790
Hg  0.500  0.871  0.351
Nd  0.000  0.767  0.731
Nd  0.500  0.702  0.087
Hg  0.000  0.038  0.819
Hg  0.000  0.181  0.219
Nd  0.500  0.210  0.769
Hg  0.000  0.781  0.962
Hg  0.500  0.480  0.129
Ac  0.000  0.667  0.333
Ac  0.500  0.000  0.000
Hg  0.000  0.333  0.667
Nd  0.500  0.231  0.441

Values from the calculation:
The calculation puts the formation energy at -263 meV/atom. The space-group type is P-6, No. 174.



| no. | energy (eV per atom) |
| --- | --- |
| 1 | -2.71 |
| 2 | -2.44 |
| 3 | -3.43 |
| 4 | -3.71 |
| 5 | -3.11 |
| 6 | -2.41 |
| 7 | -2.92 |
| 8 | -2.00 |
| 9 | -1.70 |
| 10 | -1.99 |
| 11 | -2.35 |
| 12 | -2.04 |
| 13 | -3.10 |
| 14 | -1.98 |
| 15 | -3.98 |
| 16 | -7.81 |
| 17 | -6.27 |
| 18 | -3.04 |
| 19 | -3.36 |
| 20 | -2.23 |
| 21 | -2.94 |
| 22 | -3.39 |
| 23 | -3.29 |
| 24 | -1.73 |
| 25 | -3.48 |